Computed, not measured: crystalline BeOsSe4 at its relaxed geometry at the GGA-PBEsol level of DFT.

Cell and atoms, written as extended XYZ:
```
6
Lattice="5.363 0.000 0.000 2.682 4.645 0.000 2.682 1.548 4.379" Properties=species:S:1:pos:R:3 pbc="T T T"
Be 8.045 4.645 3.284
Os 0.000 0.000 0.000
Se 4.024 2.323 1.643
Se 5.363 3.096 3.829
Se 6.702 2.323 1.643
Se 5.363 4.642 1.643
```

Output
DOS at the Fermi energy (states/eV/cell): 5.922
E (eV per atom): -3.75
E_form (uncorrected) (eV/atom): 1.515
SG: F-43m (216)